Record 1
Computed, not measured: a relaxed structure of Nd2Sn3Pt2 at the GGA-PBE level of DFT.

extended XYZ file:
```
14
Lattice="0.3712 2.1585 -3.9862 -5.2459 -4.4451 -2.8955 -7.2467 5.3977 4.8429" Properties=species:S:1:pos:R:3 pbc="T T T"
Pt -6.6149 1.8453 0.3833
Pt -4.4523 3.6778 1.5770
Pt -7.6691 -0.5666 -3.6157
Pt -5.5066 1.2658 -2.4221
Nd -4.5428 -2.7758 -1.9261
Nd -3.6045 0.9920 0.2016
Nd -8.5170 2.1191 -2.2404
Nd -7.5787 5.8870 -0.1127
Sn -8.9851 3.1136 0.8494
Sn -11.0418 1.3709 -0.2858
Sn -6.9693 -0.5501 -0.9468
Sn -1.0797 1.7403 -1.7530
Sn -3.1364 -0.0025 -2.8882
Sn -5.1522 3.6612 -1.0920
```

ΔE_f, kcal/mol of atoms: -18.8
Theoretical density, g/cm³: 10.13
Space-group type: Cmcm, No. 63



Record 2
Computed, not measured: a relaxed structure of ThIn2Au at the GGA-PBE level of DFT.

extended XYZ file:
```
4
Lattice="-1.2772 1.9024 2.7641 1.2938 -2.4496 2.2839 6.5576 3.8305 0.3937" Properties=species:S:1:pos:R:3 pbc="T T T"
In 1.3700 0.8002 0.0823
In 5.1877 3.0302 0.3115
Au 0.0083 -0.2736 2.5240
Th 3.2871 1.6416 2.7208
```

ΔE_f, kcal/mol of atoms: -5.8
Excess energy over the best structure of this formula in the dataset, meV/atom: 117
Theoretical density, g/cm³: 11.16
Space-group type: P4/mmm, No. 123



Record 3
Computed, not measured: a relaxed structure of TiCrCo3 at the GGA-PBE level of DFT.

extended XYZ file:
```
10
Lattice="-0.4868 1.0361 -4.3241 -4.4445 -4.1874 -0.5030 -0.0883 5.9555 1.4369" Properties=species:S:1:pos:R:3 pbc="T T T"
Cr -0.2434 0.5180 -2.1620
Cr 0.0000 0.0000 0.0000
Co -0.8235 2.7586 -2.7166
Co -1.2307 4.9227 -2.1523
Co -4.1961 0.0456 -0.6735
Co -1.9064 -0.8476 -1.1452
Co -3.1132 3.6517 -2.2449
Co -3.7889 -2.1185 -1.2378
Ti -3.0696 0.6409 -2.9712
Ti -1.9499 2.1633 -0.4189
```

ΔE_f, kcal/mol of atoms: 1.1
Excess energy over the best structure of this formula in the dataset, meV/atom: 0
Theoretical density, g/cm³: 7.40
Space-group type: Cmcm, No. 63



Record 4
Computed, not measured: a relaxed structure of BaSiAs2Au at the GGA-PBE level of DFT.

extended XYZ file:
```
10
Lattice="6.1306 0.0000 0.0000 -3.0653 5.9619 0.0000 0.0000 0.0000 7.2990" Properties=species:S:1:pos:R:3 pbc="T T T"
As 0.0000 4.7485 5.8350
As 3.0653 4.7485 1.4640
As 0.0000 1.2133 5.8350
As 3.0653 1.2133 1.4640
Ba 0.0000 2.9809 1.7373
Ba 3.0653 2.9809 5.5616
Si 1.5327 0.0000 0.0000
Si 4.5980 0.0000 0.0000
Au 3.0653 0.0000 3.6495
Au 0.0000 0.0000 3.6495
```

Theoretical density, g/cm³: 6.38
Raw formation energy, eV/atom: -0.399
Space-group type: Cmme, No. 67



Record 5
Computed, not measured: a relaxed structure of YGa8Ni4 at the GGA-PBE level of DFT.

extended XYZ file:
```
13
Lattice="5.1819 0.0000 0.0000 2.5910 6.0744 0.0000 2.5910 0.0000 6.0744" Properties=species:S:1:pos:R:3 pbc="T T T"
Ga 2.5910 1.3460 1.3460
Ga 7.7729 4.7284 4.7284
Ga 5.1819 2.0832 2.0832
Ga 5.1819 3.9911 3.9911
Ga 5.1819 1.3460 4.7284
Ga 5.1819 4.7284 1.3460
Ga 2.5910 3.9911 2.0832
Ga 2.5910 2.0832 3.9911
Ni 3.8865 0.0000 3.0372
Ni 3.8865 3.0372 0.0000
Ni 1.2955 3.0372 0.0000
Ni 1.2955 0.0000 3.0372
Y 0.0000 0.0000 0.0000
```

ΔE_f, kcal/mol of atoms: -10.0
Theoretical density, g/cm³: 7.66
Space-group type: I4/mmm, No. 139



Record 6
Computed, not measured: a relaxed structure of MnCd2Te at the GGA-PBE level of DFT.

extended XYZ file:
```
4
Lattice="-0.8495 0.9292 -3.0962 1.9851 -2.3766 -1.2580 -6.1307 -5.1870 0.1253" Properties=species:S:1:pos:R:3 pbc="T T T"
Mn -3.1305 -2.6486 0.0640
Cd -0.1535 -0.1299 0.0031
Cd -1.1473 -2.1748 -2.1420
Te -3.6291 -4.2746 -2.0913
```

Theoretical density, g/cm³: 7.54
Raw formation energy, eV/atom: 0.164
Space-group type: P4mm, No. 99



Repeat the sixth record exactly.
Computed, not measured: a relaxed structure of MnCd2Te at the GGA-PBE level of DFT.

extended XYZ file:
```
4
Lattice="-0.8495 0.9292 -3.0962 1.9851 -2.3766 -1.2580 -6.1307 -5.1870 0.1253" Properties=species:S:1:pos:R:3 pbc="T T T"
Mn -3.1305 -2.6486 0.0640
Cd -0.1535 -0.1299 0.0031
Cd -1.1473 -2.1748 -2.1420
Te -3.6291 -4.2746 -2.0913
```

Theoretical density, g/cm³: 7.54
Raw formation energy, eV/atom: 0.164
Space-group type: P4mm, No. 99